W2BrO | GGA+U | optimized geometry

a = 5.3807 Å, b = 5.3807 Å, c = 13.0385 Å
α = 90.00°, β = 90.00°, γ = 90.00°
Space group I-42d (No. 122)
Unique sites:
W (0.1111, 0.2500, 0.1250) x8
Br (0.0000, 0.0000, 0.5000) x4
O (0.0000, 0.0000, 0.0000) x4

Values from the calculation:
ρ   8.2 g/cm³
E_tot   -4.827 eV per atom
Spin magnetization   1.750 μB/atom
Fermi-level density of states   1.666 states/eV/cell